# 1
The following is a DFT calculation (PBE) of NaScW3 after structural relaxation.

Lattice parameters (Å, degrees): 4.5992 4.5992 4.5992 90.00 90.00 90.00
Space group Pm-3m (No. 221)
Inequivalent atoms, fractional coordinates:
Na: 0.0000 0.0000 0.0000 x1
Sc: 0.5000 0.5000 0.5000 x1
W: 0.0000 0.0000 0.5000 x3

## Properties
VASP energy = -6.66 eV per atom
Energy relative to the elements = 254.9 kJ/mol of atoms
Calculated density = 10.6 g cm⁻³

# 2
The following is a DFT calculation (PBE) of Na3ScW after structural relaxation.

Lattice parameters (Å, degrees): 5.6624 5.6624 5.6624 90.00 90.00 90.00
Space group Pm-3m (No. 221)
Inequivalent atoms, fractional coordinates:
Na: 0.0000 0.0000 0.5000 x3
Sc: 0.5000 0.5000 0.5000 x1
W: 0.0000 0.0000 0.0000 x1

## Properties
VASP energy = -2.87 eV per atom
Energy relative to the elements = 171.9 kJ/mol of atoms
Calculated density = 2.7 g cm⁻³

# 3
The following is a DFT calculation (PBE) of NaSc2W after structural relaxation.

Lattice parameters (Å, degrees): 3.0879 3.0879 33.3937 90.00 90.00 120.00
Space group R-3m (No. 166, hexagonal axes)
Inequivalent atoms, fractional coordinates:
Na: 0.0000 0.0000 0.0000 x3
Sc: 0.0000 0.0000 0.0985 x6
W: 0.0000 0.0000 0.5000 x3

## Properties
VASP energy = -6.32 eV per atom
Energy relative to the elements = 40.1 kJ/mol of atoms
Calculated density = 5.4 g cm⁻³

Copy entry 1 word for word.
The following is a DFT calculation (PBE) of NaScW3 after structural relaxation.

Lattice parameters (Å, degrees): 4.5992 4.5992 4.5992 90.00 90.00 90.00
Space group Pm-3m (No. 221)
Inequivalent atoms, fractional coordinates:
Na: 0.0000 0.0000 0.0000 x1
Sc: 0.5000 0.5000 0.5000 x1
W: 0.0000 0.0000 0.5000 x3

## Properties
VASP energy = -6.66 eV per atom
Energy relative to the elements = 254.9 kJ/mol of atoms
Calculated density = 10.6 g cm⁻³